Crystalline Nd2ErSbO6 at its relaxed geometry. Source: OQMD via LeMat-Bulk, functional PBE.

## Properties
Volume: 14.44 A^3/atom
SG: No. 2
E: -72.3 eV per cell

Lattice parameters (Å, degrees): 5.2153 5.3898 5.7395 104.36 105.24 101.72
Element x y z (fractional)
Er (0.0000, 0.0000, 0.0000)
Nd (0.2432, 0.7403, 0.5053)
Nd (0.7567, 0.2597, 0.4947)
O (0.7719, 0.2876, 0.0761)
O (0.8185, 0.8295, 0.2663)
O (0.6459, 0.6310, 0.7430)
O (0.2281, 0.7124, 0.9239)
O (0.1815, 0.1705, 0.7337)
O (0.3541, 0.3690, 0.2570)
Sb (0.5000, 0.5000, 0.0000)